Material: KYAl2
Method: DFT, PBE
State: optimized geometry

Structure (CIF):
```
data_KYAl2
_chemical_formula_sum 'K2 Y2 Al4'
_space_group_name_H-M_alt 'I m m 2'
_space_group_IT_number 44
_cell_length_a 3.343
_cell_length_b 5.554
_cell_length_c 11.531
_cell_angle_alpha 90.00
_cell_angle_beta 90.00
_cell_angle_gamma 90.00
loop_
_space_group_symop_operation_xyz
'x,y,z'
'-x,-y,z'
'-x,y,z'
'x,-y,z'
'x+1/2,y+1/2,z+1/2'
'-x+1/2,-y+1/2,z+1/2'
'-x+1/2,y+1/2,z+1/2'
'x+1/2,-y+1/2,z+1/2'
loop_
_atom_site_label
_atom_site_fract_x
_atom_site_fract_y
_atom_site_fract_z
K1 0.000 0.000 0.000
Y1 0.000 0.500 0.198
Al1 0.000 0.000 0.454
Al2 0.000 0.500 0.769
```

Results
DOS(E_F)   0.649 states/eV per atom
Offset from the most stable computed form   134 meV/atom
Calculated formation energy   134.9 meV/atom
Total DFT energy (no corrections)   -29.0 eV per cell

Material: Ti5FeNi4
Method: DFT, PBE
State: optimized geometry

Structure (CIF):
```
data_Ti5FeNi4
_chemical_formula_sum 'Ti5 Fe1 Ni4'
_space_group_name_H-M_alt 'P 4/m m m'
_space_group_IT_number 123
_space_group_name_Hall '-P 4 2'
_cell_length_a 2.980
_cell_length_b 2.980
_cell_length_c 15.194
_cell_angle_alpha 90.00
_cell_angle_beta 90.00
_cell_angle_gamma 90.00
loop_
_atom_site_label
_atom_site_fract_x
_atom_site_fract_y
_atom_site_fract_z
Ti1 0.000 0.000 0.000
Ti2 0.000 0.000 0.201
Ti3 0.000 0.000 0.403
Fe1 0.500 0.500 0.500
Ni1 0.500 0.500 0.100
Ni2 0.500 0.500 0.304
```

Results
DOS(E_F)   1.489 states/eV per atom
Calculated formation energy   -357.3 meV/atom
Total DFT energy (no corrections)   -74.6 eV per cell

Material: Ac2Tb4Dy3
Method: DFT, PBE
State: optimized geometry

Structure (CIF):
```
data_Ac2Tb4Dy3
_chemical_formula_sum 'Ac8 Tb16 Dy12'
_space_group_name_H-M_alt 'F m m m'
_space_group_IT_number 69
_space_group_name_Hall '-F 2 2'
_cell_length_a 6.219
_cell_length_b 12.468
_cell_length_c 16.370
_cell_angle_alpha 90.00
_cell_angle_beta 90.00
_cell_angle_gamma 90.00
loop_
_atom_site_label
_atom_site_fract_x
_atom_site_fract_y
_atom_site_fract_z
Ac1 0.000 0.000 0.117
Tb1 0.000 0.147 0.313
Dy1 0.000 0.000 0.500
Dy2 0.250 0.250 0.000
```

Results
DOS(E_F)   1.947 states/eV per atom
Calculated formation energy   186.8 meV/atom
Total DFT energy (no corrections)   -155.5 eV per cell

Material: TlTeAu2
Method: DFT, PBE
State: optimized geometry

Structure (CIF):
```
data_TlTeAu2
_chemical_formula_sum 'Tl2 Te2 Au4'
_space_group_name_H-M_alt 'C m m 2'
_space_group_IT_number 35
_cell_length_a 4.462
_cell_length_b 4.821
_cell_length_c 9.163
_cell_angle_alpha 90.00
_cell_angle_beta 90.00
_cell_angle_gamma 90.00
loop_
_space_group_symop_operation_xyz
'x,y,z'
'-x,-y,z'
'-x,y,z'
'x,-y,z'
'x+1/2,y+1/2,z'
'-x+1/2,-y+1/2,z'
'-x+1/2,y+1/2,z'
'x+1/2,-y+1/2,z'
loop_
_atom_site_label
_atom_site_fract_x
_atom_site_fract_y
_atom_site_fract_z
Tl1 0.000 0.000 0.000
Te1 0.000 0.500 0.338
Au1 0.000 0.000 0.570
Au2 0.000 0.500 0.760
```

Results
DOS(E_F)   0.380 states/eV per atom
Offset from the most stable computed form   146 meV/atom
Total DFT energy (no corrections)   -23.1 eV per cell
E_form (uncorrected)   0.131 eV/atom

Material: BaTiAg2S4
Method: DFT, PBE
State: optimized geometry

Structure (CIF):
```
data_BaTiAg2S4
_chemical_formula_sum 'Ba2 Ti2 Ag4 S8'
_space_group_name_H-M_alt 'I 2 2 2'
_space_group_IT_number 23
_cell_length_a 6.536
_cell_length_b 7.300
_cell_length_c 8.268
_cell_angle_alpha 90.00
_cell_angle_beta 90.00
_cell_angle_gamma 90.00
loop_
_space_group_symop_operation_xyz
'x,y,z'
'-x,-y,z'
'x,-y,-z'
'-x,y,-z'
'x+1/2,y+1/2,z+1/2'
'-x+1/2,-y+1/2,z+1/2'
'x+1/2,-y+1/2,-z+1/2'
'-x+1/2,y+1/2,-z+1/2'
loop_
_atom_site_label
_atom_site_fract_x
_atom_site_fract_y
_atom_site_fract_z
Ba1 0.000 0.000 0.000
Ti1 0.000 0.000 0.500
Ag1 0.000 0.500 0.180
S1 0.188 0.189 0.663
```

Results
Total DFT energy (no corrections)   -81.0 eV per cell
E_form (uncorrected)   -1.056 eV/atom

Material: ErMnReSi3
Method: DFT, PBE
State: optimized geometry

Structure (CIF):
```
data_ErMnReSi3
_chemical_formula_sum 'Er4 Mn4 Re4 Si12'
_space_group_name_H-M_alt 'C m c m'
_space_group_IT_number 63
_space_group_name_Hall '-C 2c 2'
_cell_length_a 7.604
_cell_length_b 10.577
_cell_length_c 5.411
_cell_angle_alpha 90.00
_cell_angle_beta 90.00
_cell_angle_gamma 90.00
loop_
_atom_site_label
_atom_site_fract_x
_atom_site_fract_y
_atom_site_fract_z
Er1 0.000 0.242 0.250
Mn1 0.000 0.037 0.750
Re1 0.000 0.452 0.750
Si1 0.000 0.238 0.750
Si2 0.239 0.000 0.000
```

Results
DOS(E_F)   0.498 states/eV per atom
Total DFT energy (no corrections)   -174.5 eV per cell
E_form (uncorrected)   -0.196 eV/atom

Material: TeBrN2F
Method: DFT, PBE
State: optimized geometry

Structure (CIF):
```
data_TeBrN2F
_chemical_formula_sum 'Te1 Br1 N2 F1'
_space_group_name_H-M_alt 'P 4/m m m'
_space_group_IT_number 123
_space_group_name_Hall '-P 4 2'
_cell_length_a 3.772
_cell_length_b 3.772
_cell_length_c 7.436
_cell_angle_alpha 90.00
_cell_angle_beta 90.00
_cell_angle_gamma 90.00
loop_
_atom_site_label
_atom_site_fract_x
_atom_site_fract_y
_atom_site_fract_z
Te1 0.000 0.000 0.000
Br1 0.000 0.000 0.500
N1 0.000 0.500 0.500
F1 0.500 0.500 0.000
```

Results
DOS(E_F)   0.810 states/eV per atom
Offset from the most stable computed form   749 meV/atom
Total DFT energy (no corrections)   -14.3 eV per cell
E_form (uncorrected)   1.798 eV/atom

Material: La2Hg2Ru
Method: DFT, PBE
State: optimized geometry

Structure (CIF):
```
data_La2Hg2Ru
_chemical_formula_sum 'La8 Hg8 Ru4'
_space_group_name_H-M_alt 'I 41/a m d'
_space_group_IT_number 141
_cell_length_a 4.876
_cell_length_b 4.876
_cell_length_c 22.466
_cell_angle_alpha 90.00
_cell_angle_beta 90.00
_cell_angle_gamma 90.00
loop_
_space_group_symop_operation_xyz
'x,y,z'
'-x,-y,-z'
'-y+1/4,x+3/4,z+1/4'
'y+1/4,-x+3/4,-z+1/4'
'-x+1/2,-y,z+1/2'
'x+1/2,y,-z+1/2'
'y+1/4,-x+1/4,z+3/4'
'-y+1/4,x+1/4,-z+3/4'
'x,-y,-z'
'-x,y,z'
'-y+1/4,-x+1/4,-z+3/4'
'y+1/4,x+1/4,z+3/4'
'-x+1/2,y,-z+1/2'
'x+1/2,-y,z+1/2'
'y+1/4,x+3/4,-z+1/4'
'-y+1/4,-x+3/4,z+1/4'
'x+1/2,y+1/2,z+1/2'
'-x+1/2,-y+1/2,-z+1/2'
'-y+3/4,x+1/4,z+3/4'
'y+3/4,-x+1/4,-z+3/4'
'-x,-y+1/2,z'
'x,y+1/2,-z'
'y+3/4,-x+3/4,z+1/4'
'-y+3/4,x+3/4,-z+1/4'
'x+1/2,-y+1/2,-z+1/2'
'-x+1/2,y+1/2,z+1/2'
'-y+3/4,-x+3/4,-z+1/4'
'y+3/4,x+3/4,z+1/4'
'-x,y+1/2,-z'
'x,-y+1/2,z'
'y+3/4,x+1/4,-z+3/4'
'-y+3/4,-x+1/4,z+3/4'
loop_
_atom_site_label
_atom_site_fract_x
_atom_site_fract_y
_atom_site_fract_z
La1 0.000 0.250 0.063
Hg1 0.000 0.250 0.206
Ru1 0.000 0.250 0.875
```

Results
DOS(E_F)   1.025 states/eV per atom
Offset from the most stable computed form   0 meV/atom
Calculated formation energy   -351.5 meV/atom
Total DFT energy (no corrections)   -86.0 eV per cell

Material: Ac8CuIr3I3
Method: DFT, PBE
State: optimized geometry

Structure (CIF):
```
data_Ac8CuIr3I3
_chemical_formula_sum 'Ac16 Cu2 Ir6 I6'
_space_group_name_H-M_alt 'C 1 2/m 1'
_space_group_IT_number 12
_cell_length_a 15.341
_cell_length_b 8.868
_cell_length_c 9.889
_cell_angle_alpha 90.00
_cell_angle_beta 121.12
_cell_angle_gamma 90.00
loop_
_space_group_symop_operation_xyz
'x,y,z'
'-x,-y,-z'
'-x,y,-z'
'x,-y,z'
'x+1/2,y+1/2,z'
'-x+1/2,-y+1/2,-z'
'-x+1/2,y+1/2,-z'
'x+1/2,-y+1/2,z'
loop_
_atom_site_label
_atom_site_fract_x
_atom_site_fract_y
_atom_site_fract_z
Ac1 0.024 0.241 0.312
Ac2 0.229 0.000 0.688
Ac3 0.235 0.500 0.687
Cu1 0.000 0.500 0.500
Ir1 0.000 0.000 0.500
Ir2 0.250 0.250 0.500
I1 0.000 0.500 0.000
I2 0.250 0.250 0.000
```

Results
DOS(E_F)   0.544 states/eV per atom
Total DFT energy (no corrections)   -161.5 eV per cell
E_form (uncorrected)   -0.836 eV/atom

Material: CuHg4
Method: DFT, PBE
State: optimized geometry

Structure (CIF):
```
data_CuHg4
_chemical_formula_sum 'Cu2 Hg8'
_space_group_name_H-M_alt 'I 4/m'
_space_group_IT_number 87
_space_group_name_Hall '-I 4'
_cell_length_a 8.945
_cell_length_b 8.945
_cell_length_c 2.916
_cell_angle_alpha 90.00
_cell_angle_beta 90.00
_cell_angle_gamma 90.00
loop_
_atom_site_label
_atom_site_fract_x
_atom_site_fract_y
_atom_site_fract_z
Cu1 0.000 0.000 0.000
Hg1 0.003 0.269 0.500
```

Results
DOS(E_F)   0.231 states/eV per atom
Calculated formation energy   117.7 meV/atom
Total DFT energy (no corrections)   -9.4 eV per cell

Material: Ca2CeAu6
Method: DFT, PBE
State: optimized geometry

Structure (CIF):
```
data_Ca2CeAu6
_chemical_formula_sum 'Ca2 Ce1 Au6'
_space_group_name_H-M_alt 'P 6/m m m'
_space_group_IT_number 191
_space_group_name_Hall '-P 6 2'
_cell_length_a 8.2580
_cell_length_b 8.2580
_cell_length_c 3.5554
_cell_angle_alpha 90.00
_cell_angle_beta 90.00
_cell_angle_gamma 120.00
loop_
_atom_site_label
_atom_site_fract_x
_atom_site_fract_y
_atom_site_fract_z
Ca1 0.3333 0.6667 0.0000
Ce1 0.0000 0.0000 0.0000
Au1 0.0000 0.3340 0.5000
```

Results
DOS(E_F)   1.151 states/eV per atom
Calculated formation energy   -680.7 meV/atom
Total DFT energy (no corrections)   -35.7 eV per cell

Material: PrGa3Pd3
Method: DFT, PBE
State: optimized geometry

Structure (CIF):
```
data_PrGa3Pd3
_chemical_formula_sum 'Pr2 Ga6 Pd6'
_space_group_name_H-M_alt 'P m -3 n'
_space_group_IT_number 223
_space_group_name_Hall '-P 4n 2 3'
_cell_length_a 6.809
_cell_length_b 6.809
_cell_length_c 6.809
_cell_angle_alpha 90.00
_cell_angle_beta 90.00
_cell_angle_gamma 90.00
loop_
_atom_site_label
_atom_site_fract_x
_atom_site_fract_y
_atom_site_fract_z
Pr1 0.000 0.000 0.000
Ga1 0.000 0.250 0.500
Pd1 0.000 0.500 0.250
```

Results
DOS(E_F)   0.674 states/eV per atom
Offset from the most stable computed form   323 meV/atom
Calculated formation energy   -371.5 meV/atom
Total DFT energy (no corrections)   -64.1 eV per cell

Number 1: total magnetization 0.00 Bohr magnetons per cell. Number 2: total magnetization 0.08 Bohr magnetons per cell. Number 3: total magnetization 0.00 Bohr magnetons per cell. Number 4: total magnetization 0.00 Bohr magnetons per cell. Number 5: total magnetization 0.00 Bohr magnetons per cell. Number 6: total magnetization 0.00 Bohr magnetons per cell. Number 7: total magnetization 0.81 Bohr magnetons per cell. Number 8: total magnetization 0.00 Bohr magnetons per cell. Number 9: total magnetization 0.00 Bohr magnetons per cell. Number 10: total magnetization 0.00 Bohr magnetons per cell. Number 11: total magnetization 1.18 Bohr magnetons per cell. Number 12: total magnetization 0.00 Bohr magnetons per cell.